(1)
The following is a DFT calculation (PBE-GGA) of an optimized crystal structure of NaPtAuF6.

Computed properties:
Calculated volume (Å³ per cell): 280.66
Formation energy without anion corrections (eV/atom): -1.484

Cell lengths 5.8074, 5.8074, 9.6093 Å; angles 90.00, 90.00, 120.00 degrees
Space group P-31c (No. 163)
Inequivalent atoms, fractional coordinates:
1 Na 0.3333 0.6667 0.2500 (multiplicity 2)
2 Pt 0.3333 0.6667 0.7500 (multiplicity 2)
3 Au 0.0000 0.0000 0.0000 (multiplicity 2)
4 F 0.0450 0.3820 0.6354 (multiplicity 12)

---

(2)
The following is a DFT calculation (PBE-GGA) of an optimized crystal structure of RbNaAu2F8.

Computed properties:
Calculated volume (Å³ per cell): 401.75
Formation energy without anion corrections (eV/atom): -1.693

Cell lengths 6.145, 6.145, 10.640 Å; angles 90.00, 90.00, 90.00 degrees
Space group I-4 (No. 82)
Inequivalent atoms, fractional coordinates:
1 Rb 0.000 0.000 0.000 (multiplicity 2)
2 Na 0.000 0.500 0.750 (multiplicity 2)
3 Au 0.000 0.000 0.500 (multiplicity 2)
4 Au 0.000 0.500 0.250 (multiplicity 2)
5 F 0.074 0.310 0.509 (multiplicity 8)
6 F 0.171 0.227 0.246 (multiplicity 8)

---

(3)
The following is a DFT calculation (PBE-GGA) of an optimized crystal structure of Rb2NaAuF6.

Computed properties:
Calculated volume (Å³ per cell): 697.94
Formation energy without anion corrections (eV/atom): -2.093

Cell lengths 8.870, 8.870, 8.870 Å; angles 90.00, 90.00, 90.00 degrees
Space group Fm-3m (No. 225)
Inequivalent atoms, fractional coordinates:
1 Rb 0.250 0.250 0.250 (multiplicity 8)
2 Na 0.000 0.000 0.000 (multiplicity 4)
3 Au 0.000 0.000 0.500 (multiplicity 4)
4 F 0.000 0.000 0.257 (multiplicity 24)

---

(4)
The following is a DFT calculation (PBE-GGA) of an optimized crystal structure of RbNaAuF6.

Computed properties:
Calculated volume (Å³ per cell): 178.02
Formation energy without anion corrections (eV/atom): -1.835

Cell lengths 5.791, 5.853, 5.912 Å; angles 90.24, 90.79, 117.33 degrees
Space group P1 (No. 1)
Inequivalent atoms, fractional coordinates:
1 Rb 0.000 0.000 0.000 (multiplicity 1)
2 Na 0.325 0.680 0.501 (multiplicity 1)
3 Au 0.666 0.335 0.502 (multiplicity 1)
4 F 0.380 0.341 0.320 (multiplicity 1)
5 F 0.391 0.028 0.717 (multiplicity 1)
6 F 0.654 0.046 0.317 (multiplicity 1)
7 F 0.656 0.613 0.687 (multiplicity 1)
8 F 0.962 0.349 0.685 (multiplicity 1)
9 F 0.969 0.616 0.289 (multiplicity 1)